A plane-wave DFT calculation with GGA-PBEsol was carried out for a relaxed structure of LaAlTcGe2.

Output
**Calculated density**: 5.73 g/cm³
**Energy**: -6.00 eV per atom
**N(E_F)**: 4.194 states/eV/cell

Unit cell a=4.820 b=4.820 c=5.106 alpha=90.00 beta=90.00 gamma=90.00
Atoms (fractional coordinates):
La: 0.000 0.000 0.000
Al: 0.500 0.500 0.000
Tc: 0.000 0.000 0.500
Ge: 0.000 0.500 0.500
Ge: 0.500 0.000 0.500